VASP calculation (PBE-GGA) on an optimized crystal structure of BaAlF5.

abc: 5.549 5.549 8.008
angles: 68.87 68.87 63.23
Positions (direct):
F  0.365  0.924  0.427
F  0.909  0.368  0.432
F  0.998  0.002  0.250
F  0.076  0.635  0.073
F  0.635  0.076  0.573
F  0.632  0.091  0.068
Al  0.000  0.000  0.500
Ba  0.499  0.501  0.750
Al  0.000  0.000  0.000
F  0.002  0.998  0.750
F  0.924  0.365  0.927
Ba  0.501  0.499  0.250
F  0.091  0.632  0.568
F  0.368  0.909  0.932

Properties
Energy above the lowest structure with this stoichiometry   0.093 eV/atom
Crystal system   monoclinic
Formation energy from raw total energies   -352.2 kJ per mole of atoms

---

VASP calculation (PBE-GGA) on an optimized crystal structure of BaAlF6.

abc: 4.891 4.891 4.891
angles: 97.51 97.51 97.51
Positions (direct):
F  0.235  0.578  0.235
F  0.765  0.422  0.765
F  0.422  0.765  0.765
F  0.235  0.235  0.578
Al  0.500  0.500  0.500
Ba  0.000  0.000  0.000
F  0.765  0.765  0.422
F  0.578  0.235  0.235

Properties
Crystal system   trigonal
Formation energy from raw total energies   -311.7 kJ per mole of atoms

---

VASP calculation (PBE-GGA) on an optimized crystal structure of Ba2AlF8.

abc: 4.453 5.081 8.227
angles: 108.03 105.70 90.00
Positions (direct):
F  0.233  0.233  0.465
F  0.414  0.674  0.829
F  0.588  0.854  0.175
F  0.000  0.807  0.000
F  0.767  0.767  0.535
Ba  0.163  0.664  0.327
Al  0.500  0.000  0.000
Ba  0.837  0.336  0.673
F  0.586  0.326  0.171
F  0.000  0.193  0.000
F  0.412  0.146  0.825

Properties
Crystal system   monoclinic
Formation energy from raw total energies   -317.6 kJ per mole of atoms

---

VASP calculation (PBE-GGA) on an optimized crystal structure of BaAlF5.

abc: 9.946 5.319 7.481
angles: 89.05 90.00 90.00
Positions (direct):
F  0.744  0.193  0.710
Al  0.233  0.528  0.128
Al  0.733  0.472  0.872
Ba  0.851  0.483  0.361
Ba  0.503  0.012  0.112
F  0.534  0.770  0.440
F  0.034  0.230  0.560
F  0.244  0.807  0.290
Ba  0.351  0.517  0.639
F  0.726  0.695  0.674
Al  0.632  0.979  0.576
F  0.055  0.566  0.134
F  0.051  0.754  0.529
F  0.412  0.510  0.156
F  0.912  0.490  0.844
Al  0.132  0.021  0.424
F  0.515  0.946  0.757
F  0.732  0.726  0.029
F  0.760  0.984  0.407
F  0.015  0.054  0.243
F  0.555  0.434  0.866
F  0.551  0.246  0.471
F  0.250  0.751  0.943
Ba  0.003  0.988  0.888
F  0.260  0.016  0.593
F  0.750  0.249  0.057
F  0.226  0.305  0.326
F  0.232  0.274  0.971

Properties
Energy above the lowest structure with this stoichiometry   0.013 eV/atom
Crystal system   monoclinic
Formation energy from raw total energies   -359.9 kJ per mole of atoms

---

VASP calculation (PBE-GGA) on an optimized crystal structure of Ba3AlF9.

abc: 7.661 14.755 15.104
angles: 90.00 90.00 90.00
Positions (direct):
F  0.893  0.087  0.778
Ba  0.000  0.177  0.000
F  0.557  0.634  0.783
F  0.926  0.228  0.628
F  0.562  0.709  0.382
F  0.500  0.493  0.000
F  0.074  0.228  0.372
Al  0.984  0.484  0.300
F  0.329  0.289  0.027
F  0.557  0.134  0.717
F  0.074  0.728  0.128
F  0.671  0.789  0.527
Al  0.984  0.984  0.200
Ba  0.228  0.570  0.095
F  0.934  0.752  0.341
F  0.551  0.421  0.798
F  0.925  0.522  0.410
F  0.328  0.727  0.988
F  0.672  0.227  0.488
F  0.443  0.134  0.283
F  0.218  0.533  0.745
Al  0.500  0.310  0.500
F  0.519  0.812  0.877
Ba  0.737  0.902  0.389
F  0.000  0.874  0.500
F  0.782  0.033  0.245
Ba  0.228  0.070  0.405
Ba  0.493  0.505  0.355
F  0.150  0.880  0.817
F  0.138  0.565  0.927
Ba  0.242  0.698  0.812
F  0.481  0.812  0.123
F  0.782  0.533  0.255
F  0.893  0.587  0.722
F  0.107  0.087  0.222
F  0.066  0.252  0.841
F  0.671  0.289  0.973
F  0.075  0.022  0.910
Al  0.500  0.206  0.000
F  0.660  0.116  0.977
F  0.934  0.252  0.159
F  0.066  0.752  0.659
F  0.551  0.921  0.702
F  0.862  0.065  0.427
Ba  0.772  0.070  0.595
Ba  0.758  0.198  0.312
F  0.000  0.374  0.000
F  0.828  0.926  0.846
F  0.850  0.380  0.317
F  0.340  0.616  0.477
F  0.660  0.616  0.523
Al  0.016  0.984  0.800
Ba  0.242  0.198  0.688
F  0.048  0.441  0.191
Ba  0.749  0.780  0.728
Ba  0.251  0.280  0.228
F  0.172  0.426  0.346
F  0.075  0.522  0.590
Ba  0.000  0.677  0.500
Ba  0.251  0.780  0.272
F  0.481  0.312  0.377
F  0.862  0.565  0.073
Ba  0.749  0.280  0.772
F  0.340  0.116  0.023
F  0.672  0.727  0.012
F  0.500  0.993  0.500
Ba  0.772  0.570  0.905
F  0.341  0.903  0.992
Ba  0.263  0.902  0.611
F  0.443  0.634  0.217
F  0.172  0.926  0.154
F  0.048  0.941  0.309
Al  0.016  0.484  0.700
Al  0.500  0.706  0.500
Ba  0.493  0.005  0.145
F  0.659  0.403  0.492
F  0.925  0.022  0.090
Ba  0.737  0.402  0.111
F  0.341  0.403  0.508
Ba  0.000  0.357  0.500
F  0.850  0.880  0.183
F  0.329  0.789  0.473
Ba  0.263  0.402  0.889
Ba  0.000  0.857  0.000
F  0.107  0.587  0.278
F  0.438  0.709  0.618
Ba  0.758  0.698  0.188
F  0.449  0.921  0.298
F  0.328  0.227  0.512
Al  0.500  0.810  0.000
F  0.138  0.065  0.573
F  0.449  0.421  0.202
F  0.926  0.728  0.872
F  0.952  0.941  0.691
F  0.150  0.380  0.683
F  0.562  0.209  0.118
F  0.659  0.903  0.008
F  0.519  0.312  0.623
Ba  0.507  0.505  0.645
F  0.828  0.426  0.654
Ba  0.507  0.005  0.855
F  0.218  0.033  0.755
F  0.952  0.441  0.809
F  0.438  0.209  0.882

Properties
Energy above the lowest structure with this stoichiometry   0.013 eV/atom
Crystal system   orthorhombic
Formation energy from raw total energies   -366.0 kJ per mole of atoms

---

VASP calculation (PBE-GGA) on an optimized crystal structure of Ba2AlF6.

abc: 5.382 5.382 11.634
angles: 90.00 90.00 90.00
Positions (direct):
F  0.253  0.747  0.500
Al  0.500  0.500  0.500
Al  0.000  0.000  0.000
F  0.165  0.835  0.885
Ba  0.500  0.500  0.828
F  0.165  0.835  0.115
F  0.247  0.247  0.000
F  0.835  0.165  0.115
F  0.665  0.665  0.385
Ba  0.000  0.000  0.672
F  0.335  0.335  0.615
F  0.335  0.335  0.385
F  0.753  0.753  0.000
Ba  0.000  0.000  0.328
F  0.835  0.165  0.885
Ba  0.500  0.500  0.172
F  0.665  0.665  0.615
F  0.747  0.253  0.500

Properties
Crystal system   tetragonal
Formation energy from raw total energies   -328.5 kJ per mole of atoms